VASP calculation (PBE) on an optimized crystal structure of PmHo4Mg.

Cell: 6.088 6.088 11.874 Å, 104.70 104.70 60.23°
Element x y z (fractional)
Pm 0.090 0.910 0.750
Pm 0.910 0.090 0.250
Ho 0.168 0.667 0.000
Ho 0.252 0.407 0.249
Ho 0.333 0.832 0.500
Ho 0.407 0.252 0.749
Ho 0.593 0.748 0.251
Ho 0.667 0.168 0.500
Ho 0.748 0.593 0.751
Ho 0.832 0.333 0.000
Mg 0.000 0.500 0.500
Mg 0.500 0.000 0.000

Summary:
The calculation puts the total magnetization at 0.00 μB/cell. The total energy is -4.0703 eV/atom. As for the crystal system: monoclinic. For the calculated formation energy, the calculation gives 0.04 eV per atom. Its symmetry is C2/c (15). The density of states at the Fermi level comes out at 18.50 states/eV per cell.

---

VASP calculation (PBE) on an optimized crystal structure of HoAgS2.

Cell: 6.590 6.590 6.590 Å, 35.38 35.38 35.38°
Element x y z (fractional)
Ho 0.000 0.000 0.000
Ag 0.500 0.500 0.500
S 0.254 0.254 0.254
S 0.746 0.746 0.746

Summary:
The formation energy (no corrections) is -1.2824 eV per atom. The calculation puts the total magnetization at 0.00 μB/cell. The total energy is -5.2034 eV/atom. As for the crystal system: trigonal. Its symmetry is R-3m (166). The density of states at the Fermi level comes out at 0.00 states/eV per cell.

---

VASP calculation (PBE) on an optimized crystal structure of LaBeHgAu2.

Cell: 4.747 4.747 4.722 Å, 90.00 90.00 90.00°
Element x y z (fractional)
La 0.000 0.000 0.000
Be 0.500 0.500 0.500
Hg 0.500 0.500 0.000
Au 0.000 0.500 0.500
Au 0.500 0.000 0.500

Summary:
The calculation puts the total magnetization at 0.00 μB/cell. The total energy is -3.4824 eV/atom. As for the crystal system: tetragonal. For the calculated formation energy, the calculation gives -0.38 eV per atom. Its symmetry is P4/mmm (123). The density of states at the Fermi level comes out at 1.80 states/eV per cell.

---

VASP calculation (PBE) on an optimized crystal structure of NdSm2Y3Te6.

Cell: 9.884 9.884 8.892 Å, 103.49 103.49 25.63°
Element x y z (fractional)
Nd 0.000 0.000 0.000
Sm 0.334 0.334 0.668
Sm 0.666 0.666 0.332
Y 0.000 0.000 0.500
Y 0.335 0.335 0.167
Y 0.665 0.665 0.833
Te 0.166 0.166 0.587
Te 0.170 0.170 0.080
Te 0.499 0.499 0.257
Te 0.501 0.501 0.743
Te 0.830 0.830 0.920
Te 0.834 0.834 0.413

Summary:
The formation energy (no corrections) is -1.3557 eV per atom. The calculation puts the total magnetization at 0.00 μB/cell. The total energy is -5.7264 eV/atom. As for the crystal system: monoclinic. Its symmetry is C2/m (12). The density of states at the Fermi level comes out at 6.36 states/eV per cell.

---

What did the second record say?
VASP calculation (PBE) on an optimized crystal structure of HoAgS2.

Cell: 6.590 6.590 6.590 Å, 35.38 35.38 35.38°
Element x y z (fractional)
Ho 0.000 0.000 0.000
Ag 0.500 0.500 0.500
S 0.254 0.254 0.254
S 0.746 0.746 0.746

Summary:
The formation energy (no corrections) is -1.2824 eV per atom. The calculation puts the total magnetization at 0.00 μB/cell. The total energy is -5.2034 eV/atom. As for the crystal system: trigonal. Its symmetry is R-3m (166). The density of states at the Fermi level comes out at 0.00 states/eV per cell.